[1]
## CsCaSbH2 (GGA-PBE)

Data for an optimized crystal structure of CsCaSbH2.

Unit cell a=5.329 b=5.329 c=19.574 alpha=90.00 beta=90.00 gamma=120.00
Atoms (fractional coordinates):
Cs (0.000, 0.000, 0.086)
Sb (0.667, 0.333, 0.213)
H (0.000, 0.000, 0.383)
Cs (0.667, 0.333, 0.419)
Ca (0.333, 0.667, 0.236)
Sb (0.000, 0.000, 0.879)
Ca (0.667, 0.333, 0.902)
H (0.333, 0.667, 0.049)
H (0.333, 0.667, 0.010)
H (0.000, 0.000, 0.344)
Sb (0.333, 0.667, 0.546)
H (0.667, 0.333, 0.716)
Ca (0.000, 0.000, 0.569)
Cs (0.333, 0.667, 0.752)
H (0.667, 0.333, 0.677)

Crystal system = trigonal
Energy = -46.41 eV for the cell shown
Magnetization = 0.0 μB per formula unit

***

[2]
## InRe2Pb (GGA-PBE)

Data for an optimized crystal structure of InRe2Pb.

Unit cell a=4.756 b=4.756 c=4.756 alpha=60.00 beta=60.00 gamma=60.00
Atoms (fractional coordinates):
Re (0.000, 0.000, 0.000)
In (0.500, 0.500, 0.500)
Re (0.250, 0.250, 0.250)
Pb (0.750, 0.750, 0.750)

DFT formation energy = 24.5 kcal/mol of atoms
Crystal system = cubic
Energy = -27.10 eV for the cell shown
Magnetization = 0.0 μB per formula unit

***

[3]
## Tb2Pr6Nd3Y (GGA-PBE)

Data for an optimized crystal structure of Tb2Pr6Nd3Y.

Unit cell a=6.376 b=6.376 c=12.102 alpha=95.04 beta=95.04 gamma=120.02
Atoms (fractional coordinates):
Nd (0.500, 0.500, 0.500)
Pr (0.583, 0.917, 0.753)
Nd (0.167, 0.833, 0.500)
Pr (0.251, 0.251, 0.753)
Pr (0.917, 0.583, 0.753)
Y (0.000, 0.000, 0.000)
Tb (0.333, 0.667, 0.000)
Nd (0.833, 0.167, 0.500)
Pr (0.417, 0.083, 0.247)
Pr (0.749, 0.749, 0.247)
Tb (0.667, 0.333, 0.000)
Pr (0.083, 0.417, 0.247)

DFT formation energy = 0.3 kcal/mol of atoms
Crystal system = monoclinic
Energy = -58.56 eV for the cell shown
Magnetization = 0.0 μB per formula unit

***

[4]
## LiSnAs2 (GGA-PBE)

Data for an optimized crystal structure of LiSnAs2.

Unit cell a=4.097 b=4.097 c=6.206 alpha=70.73 beta=70.73 gamma=60.00
Atoms (fractional coordinates):
As (0.267, 0.267, 0.199)
Sn (0.499, 0.499, 0.502)
As (0.065, 0.065, 0.806)
Li (0.669, 0.669, 0.993)

DFT formation energy = -1.9 kcal/mol of atoms
Crystal system = trigonal
Energy = -15.54 eV for the cell shown
Magnetization = 0.0 μB per formula unit

***

[5]
## KMgSO4 (GGA-PBE)

Data for an optimized crystal structure of KMgSO4.

Unit cell a=5.189 b=5.567 c=7.704 alpha=90.00 beta=117.07 gamma=90.00
Atoms (fractional coordinates):
O (0.421, 0.750, 0.517)
S (0.177, 0.750, 0.304)
Mg (0.211, 0.250, 0.527)
O (0.994, 0.521, 0.320)
K (0.554, 0.750, 0.891)
K (0.446, 0.250, 0.109)
O (0.994, 0.979, 0.320)
S (0.823, 0.250, 0.696)
O (0.408, 0.750, 0.208)
O (0.006, 0.021, 0.680)
O (0.006, 0.479, 0.680)
Mg (0.789, 0.750, 0.473)
O (0.579, 0.250, 0.483)
O (0.592, 0.250, 0.792)

Crystal system = monoclinic
Energy = -75.27 eV for the cell shown
Magnetization = 1.0 μB per formula unit
Energy relative to the elements, uncorrected = -36.2 kcal/mol of atoms

***

[6]
## TlPb (GGA-PBE)

Data for an optimized crystal structure of TlPb.

Unit cell a=6.981 b=6.981 c=6.981 alpha=90.00 beta=90.00 gamma=90.00
Atoms (fractional coordinates):
Pb (0.000, 0.500, 0.500)
Tl (0.250, 0.750, 0.750)
Pb (0.000, 0.000, 0.000)
Pb (0.500, 0.000, 0.500)
Tl (0.750, 0.250, 0.750)
Tl (0.750, 0.750, 0.250)
Pb (0.500, 0.500, 0.000)
Tl (0.250, 0.250, 0.250)

DFT formation energy = 8.5 kcal/mol of atoms
Crystal system = cubic
Energy = -21.35 eV for the cell shown
Magnetization = 0.0 μB per formula unit

***

[7]
## SbC3Cl (GGA-PBE)

Data for an optimized crystal structure of SbC3Cl.

Unit cell a=3.962 b=3.962 c=3.962 alpha=90.00 beta=90.00 gamma=90.00
Atoms (fractional coordinates):
C (0.000, 0.000, 0.500)
C (0.500, 0.000, 0.000)
Cl (0.000, 0.000, 0.000)
C (0.000, 0.500, 0.000)
Sb (0.500, 0.500, 0.500)

Crystal system = cubic
Energy = -17.62 eV for the cell shown
Magnetization = 0.0 μB per formula unit
Energy relative to the elements, uncorrected = 73.9 kcal/mol of atoms

***

[8]
## TbCuAu (GGA-PBE)

Data for an optimized crystal structure of TbCuAu.

Unit cell a=4.526 b=4.526 c=4.526 alpha=60.00 beta=60.00 gamma=60.00
Atoms (fractional coordinates):
Tb (0.000, 0.000, 0.000)
Cu (0.250, 0.250, 0.250)
Au (0.500, 0.500, 0.500)

DFT formation energy = -8.9 kcal/mol of atoms
Crystal system = cubic
Energy = -13.17 eV for the cell shown
Magnetization = 0.0 μB per formula unit

***

[9]
## CaHI2 (GGA-PBE)

Data for an optimized crystal structure of CaHI2.

Unit cell a=4.517 b=7.825 c=9.332 alpha=82.53 beta=76.98 gamma=90.00
Atoms (fractional coordinates):
I (0.658, 0.388, 0.699)
H (0.540, 0.029, 0.019)
I (0.158, 0.883, 0.696)
I (0.342, 0.612, 0.301)
Ca (0.751, 0.750, 0.497)
I (0.842, 0.117, 0.304)
H (0.460, 0.971, 0.981)
Ca (0.249, 0.250, 0.503)

Crystal system = triclinic
Energy = -26.71 eV for the cell shown
Magnetization = 0.0 μB per formula unit

***

[10]
## PmY3Ir3 (GGA-PBE)

Data for an optimized crystal structure of PmY3Ir3.

Unit cell a=5.987 b=5.928 c=5.987 alpha=109.27 beta=109.67 gamma=109.27
Atoms (fractional coordinates):
Y (0.500, 0.504, 0.500)
Pm (0.000, 0.503, 0.000)
Y (0.500, 0.004, 0.000)
Ir (0.000, 0.504, 0.500)
Ir (0.500, 0.004, 0.500)
Y (0.000, 0.004, 0.500)
Ir (0.500, 0.504, 0.000)

DFT formation energy = -15.2 kcal/mol of atoms
Crystal system = trigonal
Energy = -55.35 eV for the cell shown
Magnetization = 0.0 μB per formula unit

***

[11]
## KSi2BRu (GGA-PBE)

Data for an optimized crystal structure of KSi2BRu.

Unit cell a=4.427 b=4.427 c=4.240 alpha=90.00 beta=90.00 gamma=90.00
Atoms (fractional coordinates):
B (0.000, 0.000, 0.000)
K (0.500, 0.500, 0.500)
Si (0.000, 0.500, 0.000)
Si (0.500, 0.000, 0.000)
Ru (0.000, 0.000, 0.500)

Crystal system = tetragonal
Energy = -23.79 eV for the cell shown
Magnetization = 0.0 μB per formula unit
Energy relative to the elements, uncorrected = 18.9 kcal/mol of atoms

***

[12]
## KW2Se (GGA-PBE)

Data for an optimized crystal structure of KW2Se.

Unit cell a=6.687 b=6.687 c=2.676 alpha=77.23 beta=77.23 gamma=127.28
Atoms (fractional coordinates):
W (0.500, 0.500, 0.000)
K (0.500, 0.000, 0.500)
W (0.000, 0.000, 0.000)
Se (0.000, 0.500, 0.500)

Crystal system = monoclinic
Energy = -25.95 eV for the cell shown
Magnetization = 0.0 μB per formula unit
Energy relative to the elements, uncorrected = 26.2 kcal/mol of atoms

***

Ordered V results: 32.1; 19.0; 34.9; 20.8; 14.2; 42.5; 12.4; 21.9; 39.8; 23.4; 16.6; 20.6; unit Å³ per atom.